(1)
A plane-wave DFT calculation with PBE-GGA was carried out for a geometry-optimized Sr5Al4 structure.

- Volume: 312.45 Å³/f.u.
- Energy: -2.73 eV/atom

abc: 11.549 5.156 11.415
angles: 90.00 113.16 90.00
Space group C2/m (No. 12)
One atom of each set of equivalent atoms:
Sr1 0.000 0.000 0.000 [2 per cell]
Sr2 0.109 0.000 0.399 [4 per cell]
Sr3 0.247 0.000 0.826 [4 per cell]
Al1 0.056 0.500 0.830 [4 per cell]
Al2 0.094 0.500 0.616 [4 per cell]


(2)
A plane-wave DFT calculation with PBE-GGA was carried out for a geometry-optimized Sr5Al3 structure.

- Volume: 288.84 Å³/f.u.
- Energy: -2.50 eV/atom
- Energy above the lowest structure with this stoichiometry: 78 meV/atom

abc: 6.463 9.941 9.966
angles: 84.46 71.42 72.12
Space group P-1 (No. 2)
One atom of each set of equivalent atoms:
Sr1 0.079 0.189 0.133 [2 per cell]
Sr2 0.227 0.366 0.689 [2 per cell]
Sr3 0.242 0.999 0.516 [2 per cell]
Sr4 0.299 0.787 0.126 [2 per cell]
Sr5 0.411 0.374 0.288 [2 per cell]
Al1 0.157 0.682 0.493 [2 per cell]
Al2 0.209 0.499 0.998 [2 per cell]
Al3 0.372 0.992 0.819 [2 per cell]


(3)
A plane-wave DFT calculation with PBE-GGA was carried out for a geometry-optimized SrAl structure.

- Volume: 74.19 Å³/f.u.
- Energy: -2.71 eV/atom

abc: 4.504 20.494 4.822
angles: 90.00 90.00 90.00
Space group Cmmm (No. 65)
One atom of each set of equivalent atoms:
Sr1 0.000 0.000 0.000 [2 per cell]
Sr2 0.000 0.339 0.500 [4 per cell]
Al1 0.000 0.220 0.000 [4 per cell]
Al2 0.000 0.500 0.500 [2 per cell]


(4)
A plane-wave DFT calculation with PBE-GGA was carried out for a geometry-optimized SrAl structure.

- Volume: 73.39 Å³/f.u.
- Energy: -2.90 eV/atom

abc: 4.4951 4.4951 25.1638
angles: 90.00 90.00 120.00
Space group R-3m (No. 166, hexagonal axes)
One atom of each set of equivalent atoms:
Sr1 0.0000 0.0000 0.0911 [6 per cell]
Al1 0.0000 0.0000 0.3327 [6 per cell]


(5)
A plane-wave DFT calculation with PBE-GGA was carried out for a geometry-optimized SrAl3 structure.

- Volume: 92.42 Å³/f.u.
- Energy: -3.30 eV/atom

abc: 3.490 3.664 7.228
angles: 90.00 90.00 90.00
Space group Pmmm (No. 47)
One atom of each set of equivalent atoms:
Sr1 0.000 0.000 0.000 [1 per cell]
Al1 0.000 0.000 0.500 [1 per cell]
Al2 0.500 0.500 0.316 [2 per cell]


(6)
A plane-wave DFT calculation with PBE-GGA was carried out for a geometry-optimized Sr8Al structure.

- Volume: 424.38 Å³/f.u.
- Energy: -1.87 eV/atom

abc: 12.195 12.195 5.707
angles: 90.00 90.00 90.00
Space group I4/mmm (No. 139)
One atom of each set of equivalent atoms:
Sr1 0.000 0.320 0.000 [8 per cell]
Sr2 0.154 0.154 0.500 [8 per cell]
Al1 0.000 0.000 0.000 [2 per cell]


(7)
A plane-wave DFT calculation with PBE-GGA was carried out for a geometry-optimized Sr5Al3 structure.

- Volume: 278.80 Å³/f.u.
- Energy: -2.46 eV/atom
- Energy above the lowest structure with this stoichiometry: 116 meV/atom

abc: 8.656 11.459 5.621
angles: 90.00 90.00 90.00
Space group Cmmm (No. 65)
One atom of each set of equivalent atoms:
Sr1 0.000 0.000 0.000 [2 per cell]
Sr2 0.212 0.500 0.500 [4 per cell]
Sr3 0.250 0.250 0.000 [4 per cell]
Al1 0.000 0.223 0.500 [4 per cell]
Al2 0.000 0.500 0.000 [2 per cell]


(8)
A plane-wave DFT calculation with PBE-GGA was carried out for a geometry-optimized SrAl structure.

- Volume: 130.97 Å³/f.u.
- Energy: -1.82 eV/atom

abc: 9.228 9.228 9.228
angles: 90.00 90.00 90.00
Space group Pm-3n (No. 223)
One atom of each set of equivalent atoms:
Sr1 0.000 0.250 0.500 [6 per cell]
Al1 0.000 0.500 0.250 [6 per cell]


(9)
A plane-wave DFT calculation with PBE-GGA was carried out for a geometry-optimized SrAl structure.

- Volume: 110.67 Å³/f.u.
- Energy: -2.48 eV/atom

abc: 9.602 9.602 9.602
angles: 90.00 90.00 90.00
Space group I-43m (No. 217)
One atom of each set of equivalent atoms:
Sr1 0.206 0.206 0.794 [8 per cell]
Al1 0.100 0.100 0.100 [8 per cell]


(10)
A plane-wave DFT calculation with PBE-GGA was carried out for a geometry-optimized SrAl structure.

- Volume: 60.40 Å³/f.u.
- Energy: -2.56 eV/atom

abc: 5.7393 5.7393 12.7037
angles: 90.00 90.00 120.00
Space group R-3m (No. 166, hexagonal axes)
One atom of each set of equivalent atoms:
Sr1 0.0000 0.0000 0.1385 [6 per cell]
Al1 0.0000 0.0000 0.3959 [6 per cell]


(11)
A plane-wave DFT calculation with PBE-GGA was carried out for a geometry-optimized SrAl3 structure.

- Volume: 92.19 Å³/f.u.
- Energy: -3.14 eV/atom

abc: 4.558 4.558 8.875
angles: 90.00 90.00 90.00
Space group I4/mmm (No. 139)
One atom of each set of equivalent atoms:
Sr1 0.000 0.000 0.000 [2 per cell]
Al1 0.000 0.000 0.500 [2 per cell]
Al2 0.000 0.500 0.250 [4 per cell]


(12)
A plane-wave DFT calculation with PBE-GGA was carried out for a geometry-optimized SrAl3 structure.

- Volume: 93.80 Å³/f.u.
- Energy: -3.42 eV/atom

abc: 4.486 6.071 6.888
angles: 90.00 90.00 90.00
Space group Pmmn (No. 59, origin choice 2)
One atom of each set of equivalent atoms:
Sr1 0.250 0.250 0.088 [2 per cell]
Al1 0.250 0.502 0.622 [4 per cell]
Al2 0.250 0.750 0.288 [2 per cell]


Which of these has the highest energy?
number 8


Which formula does entry 5 have?
SrAl3


Among the records above, which one has the highest volume?
Sr8Al